No. 1
Ta4Mo3Ru | PBE-GGA | optimized geometry

Cell lengths 3.205, 4.555, 9.112 Å; angles 90.00, 90.00, 90.00 degrees
Fractional coordinates of all 8 atoms:
Mo 0.500 0.500 0.500
Mo 0.500 0.000 0.246
Mo 0.500 0.000 0.754
Ru 0.500 0.500 0.000
Ta 0.000 0.500 0.751
Ta 0.000 0.000 0.000
Ta 0.000 0.500 0.249
Ta 0.000 0.000 0.500

Summary:
Crystal system   orthorhombic
Formation energy   -0.292 eV per atom



No. 2
FeCu2Te | PBE-GGA | optimized geometry

Cell lengths 3.874, 3.874, 3.998 Å; angles 90.00, 90.00, 90.00 degrees
Site moments in Bohr magnetons follow the coordinates.
Fractional coordinates of all 4 atoms:
Te 0.000 0.500 0.500  0.06
Cu 0.000 0.000 0.000  0.03
Cu 0.500 0.500 0.000  0.03
Fe 0.500 0.000 0.500  2.58

Summary:
Formation energy from raw total energies   286 meV/atom
Crystal system   tetragonal



No. 3
Pr2ErZrP4 | PBE-GGA | optimized geometry

Cell lengths 4.010, 6.948, 6.978 Å; angles 109.23, 90.00, 90.00 degrees
Fractional coordinates of all 8 atoms:
Pr 0.500 0.000 0.500
Pr 0.000 0.500 0.500
Er 0.500 0.500 0.000
P 0.000 0.751 0.230
P 0.000 0.249 0.770
P 0.500 0.236 0.226
P 0.500 0.764 0.774
Zr 0.000 0.000 0.000

Summary:
Crystal system   monoclinic
Formation energy   -1.490 eV per atom



No. 4
InIr2W | PBE-GGA | optimized geometry

Cell lengths 2.879, 4.117, 5.549 Å; angles 90.00, 90.00, 90.00 degrees
Fractional coordinates of all 4 atoms:
Ir 0.000 0.000 0.983
Ir 0.500 0.500 0.280
In 0.500 0.500 0.774
W 0.000 0.000 0.463

Summary:
Crystal system   orthorhombic
Formation energy   0.131 eV per atom



no.,V (Å³/atom),total magnetic moment (μB/cell)
1,16.628,0.00
2,15.003,2.71
3,22.947,0.00
4,16.442,0.00